KAuSe2: PBEsol geometry, SCAN.

**E_form (uncorrected)**: -0.215 eV/atom

abc: 3.5594 3.5594 8.4738
angles: 90.00 90.00 90.00
Fractional coordinates of all 4 atoms:
K (0.0000, 0.0000, 0.0000)
Au (0.5000, 0.5000, 0.5417)
Se (0.0000, 0.0000, 0.6233)
Se (0.5000, 0.5000, 0.2316)

---

CaLaZn4: PBEsol geometry, SCAN.

**ΔE_f**: -33 kJ per mole of atoms

abc: 5.5028 5.5028 5.5028
angles: 60.00 60.00 60.00
Fractional coordinates of all 6 atoms:
Ca (0.0000, 0.0000, 0.0000)
La (0.2500, 0.2500, 0.2500)
Zn (0.1265, 0.6245, 0.6245)
Zn (0.6245, 0.1265, 0.6245)
Zn (0.6245, 0.6245, 0.1265)
Zn (0.6245, 0.6245, 0.6245)

---

BOsI2: PBEsol geometry, SCAN.

**E_form (uncorrected)**: 1.746 eV/atom

abc: 7.1302 7.1302 7.1302
angles: 133.97 133.97 67.14
Fractional coordinates of all 8 atoms:
B (0.0000, 0.0000, 0.0000)
B (0.7500, 0.2500, 0.5000)
Os (0.2500, 0.7500, 0.5000)
Os (0.5000, 0.5000, 0.0000)
I (0.1065, 0.6250, 0.9815)
I (0.3750, 0.3565, 0.4815)
I (0.6435, 0.1250, 0.0185)
I (0.8750, 0.8935, 0.5185)

---

Zn5Cu: PBEsol geometry, SCAN.

**ΔE_f**: -1 kJ per mole of atoms

abc: 5.9419 5.9419 3.8239
angles: 90.00 90.00 143.55
Fractional coordinates of all 6 atoms:
Zn (0.0000, 0.0000, 0.0000)
Zn (0.1638, 0.8362, 0.5000)
Zn (0.3354, 0.6646, 0.0000)
Zn (0.6646, 0.3354, 0.0000)
Zn (0.8362, 0.1638, 0.5000)
Cu (0.5000, 0.5000, 0.5000)

---

Ba2TaIn: PBEsol geometry, SCAN.

**Energy relative to the lowest polymorph listed for this composition**: 0.314 eV per atom
**ΔE_f**: 71 kJ per mole of atoms

abc: 3.3019 5.1924 7.0960
angles: 90.00 90.00 90.00
Fractional coordinates of all 4 atoms:
Ba (0.0000, 0.0000, 0.2467)
Ba (0.0000, 0.0000, 0.7533)
Ta (0.5000, 0.5000, 0.0000)
In (0.5000, 0.5000, 0.5000)

---

SrBi2B2O7: PBEsol geometry, SCAN.

**E_form (uncorrected)**: -2.201 eV/atom

abc: 9.0775 9.0775 12.7996
angles: 90.00 90.00 120.00
Fractional coordinates of all 72 atoms:
Sr (0.0483, 0.3725, 0.2500)
Sr (0.3242, 0.9517, 0.2500)
Sr (0.3725, 0.3242, 0.7500)
Sr (0.6275, 0.6758, 0.2500)
Sr (0.6758, 0.0483, 0.7500)
Sr (0.9517, 0.6275, 0.7500)
Bi (0.0304, 0.3450, 0.5863)
Bi (0.0304, 0.3450, 0.9137)
Bi (0.3147, 0.9696, 0.5863)
Bi (0.3147, 0.9696, 0.9137)
Bi (0.3450, 0.3147, 0.0863)
Bi (0.3450, 0.3147, 0.4137)
Bi (0.6550, 0.6853, 0.5863)
Bi (0.6550, 0.6853, 0.9137)
Bi (0.6853, 0.0304, 0.0863)
Bi (0.6853, 0.0304, 0.4137)
Bi (0.9696, 0.6550, 0.0863)
Bi (0.9696, 0.6550, 0.4137)
B (0.0000, 0.0000, 0.1131)
B (0.0000, 0.0000, 0.3869)
B (0.0000, 0.0000, 0.6131)
B (0.0000, 0.0000, 0.8869)
B (0.3333, 0.6667, 0.0768)
B (0.3333, 0.6667, 0.4232)
B (0.3333, 0.6667, 0.6339)
B (0.3333, 0.6667, 0.8661)
B (0.6667, 0.3333, 0.1339)
B (0.6667, 0.3333, 0.3661)
B (0.6667, 0.3333, 0.5768)
B (0.6667, 0.3333, 0.9232)
O (0.0255, 0.8623, 0.6126)
O (0.0255, 0.8623, 0.8874)
O (0.0413, 0.6623, 0.2500)
O (0.1377, 0.1632, 0.6126)
O (0.1377, 0.1632, 0.8874)
O (0.1632, 0.0255, 0.1126)
O (0.1632, 0.0255, 0.3874)
O (0.1738, 0.5211, 0.0781)
O (0.1738, 0.5211, 0.4219)
O (0.1974, 0.6936, 0.6310)
O (0.1974, 0.6936, 0.8690)
O (0.3064, 0.5039, 0.6310)
O (0.3064, 0.5039, 0.8690)
O (0.3377, 0.3789, 0.2500)
O (0.3474, 0.8262, 0.0781)
O (0.3474, 0.8262, 0.4219)
O (0.3789, 0.0413, 0.7500)
O (0.4789, 0.6526, 0.0781)
O (0.4789, 0.6526, 0.4219)
O (0.4961, 0.8026, 0.6310)
O (0.4961, 0.8026, 0.8690)
O (0.5039, 0.1974, 0.1310)
O (0.5039, 0.1974, 0.3690)
O (0.5211, 0.3474, 0.5781)
O (0.5211, 0.3474, 0.9219)
O (0.6211, 0.9587, 0.2500)
O (0.6526, 0.1738, 0.5781)
O (0.6526, 0.1738, 0.9219)
O (0.6623, 0.6211, 0.7500)
O (0.6936, 0.4961, 0.1310)
O (0.6936, 0.4961, 0.3690)
O (0.8026, 0.3064, 0.1310)
O (0.8026, 0.3064, 0.3690)
O (0.8262, 0.4789, 0.5781)
O (0.8262, 0.4789, 0.9219)
O (0.8368, 0.9745, 0.6126)
O (0.8368, 0.9745, 0.8874)
O (0.8623, 0.8368, 0.1126)
O (0.8623, 0.8368, 0.3874)
O (0.9587, 0.3377, 0.7500)
O (0.9745, 0.1377, 0.1126)
O (0.9745, 0.1377, 0.3874)